(1)
Material: Pm3TcAg
Method: DFT, PBE-GGA
State: relaxed

Values from the calculation:
ρ = 7525 kg/m3
Energy of formation from the pure elements = 0.003 eV per atom
Calculated volume = 565.67 Å³ per cell
Energy = -5.491 eV/atom

Cell: 9.3664 7.9427 8.1146 Å, 90.00 110.44 90.00°
Closest atoms and distances in Å follow each position.
Fractional positions:
Pm: 0.0731 0.0042 0.2164  1 Tc 2.95, 3 Ag 2.99-3.01, 1 Pm 3.29
Pm: 0.0731 0.4958 0.7164  1 Tc 2.95, 3 Ag 2.99-3.01, 1 Pm 3.29
Pm: 0.3014 0.1790 0.6221  3 Tc 2.93-3.12, 1 Ag 3.25
Pm: 0.3014 0.3210 0.1221  3 Tc 2.93-3.12, 1 Ag 3.25
Pm: 0.3557 0.6800 0.4937  3 Tc 3.06-3.26, 1 Ag 3.10
Pm: 0.3557 0.8200 0.9937  3 Tc 3.06-3.26, 1 Ag 3.10
Pm: 0.6443 0.1800 0.0063  3 Tc 3.06-3.26, 1 Ag 3.10
Pm: 0.6443 0.3200 0.5063  3 Tc 3.06-3.26, 1 Ag 3.10
Pm: 0.6986 0.6790 0.8779  3 Tc 2.93-3.12, 1 Ag 3.25
Pm: 0.6986 0.8210 0.3779  3 Tc 2.93-3.12, 1 Ag 3.25
Pm: 0.9269 0.5042 0.2836  1 Tc 2.95, 3 Ag 2.99-3.01, 1 Pm 3.29
Pm: 0.9269 0.9958 0.7836  1 Tc 2.95, 3 Ag 2.99-3.01, 1 Pm 3.29
Tc: 0.4083 0.0257 0.3578  1 Tc 2.38
Tc: 0.4083 0.4743 0.8578  1 Tc 2.38
Tc: 0.5917 0.5257 0.1422  1 Tc 2.38
Tc: 0.5917 0.9743 0.6422  1 Tc 2.38
Ag: 0.0686 0.6679 0.0427  1 Ag 2.94, 5 Pm 2.99-3.25
Ag: 0.0686 0.8321 0.5427  1 Ag 2.94, 5 Pm 2.99-3.25
Ag: 0.9314 0.1679 0.4573  1 Ag 2.94, 5 Pm 2.99-3.25
Ag: 0.9314 0.3321 0.9573  1 Ag 2.94, 5 Pm 2.99-3.25

(2)
Material: Pm2TcAg
Method: DFT, PBE-GGA
State: relaxed

Values from the calculation:
ρ = 8620 kg/m3
Energy of formation from the pure elements = -0.091 eV per atom
ΔE to the lowest computed polymorph = 0 meV per atom
Calculated volume = 95.52 Å³ per cell
Energy = -5.771 eV/atom

Cell: 3.5433 3.5433 7.6083 Å, 90.00 90.00 90.00°
Closest atoms and distances in Å follow each position.
Fractional positions:
Pm: 0.0000 0.0000 0.2225  4 Tc 3.02, 4 Ag 3.28, 1 Pm 3.39
Pm: 0.0000 0.0000 0.7775  4 Tc 3.02, 4 Ag 3.28, 1 Pm 3.39
Tc: 0.5000 0.5000 0.0000  8 Pm 3.02
Ag: 0.5000 0.5000 0.5000  8 Pm 3.28, 4 Ag 3.54